Entry 1:
## Li2HfTiBe (PBE)

Data for a relaxed Li2HfTiBe crystal.

The energy of formation is 1.11 eV per atom. The calculated total energy comes out at -3.97 eV/atom. The magnetic moment is 2.05 Bohr magnetons per cell.

The structure belongs to space group P4/mmm (No. 123); the cell edges are 4.3289, 4.3289 and 4.5084 Å and the angles 90.00°, 90.00° and 90.00°. The asymmetric unit holds Li at (0.0000, 0.5000, 0.0000), Hf at (0.0000, 0.0000, 0.5000), Ti at (0.5000, 0.5000, 0.0000) and Be at (0.5000, 0.5000, 0.5000).

---

Entry 2:
## SrTe2AsPd (PBE)

Data for a relaxed SrTe2AsPd crystal.

The value obtained for the raw formation energy is 844 meV per atom. The calculated total energy comes out at -2.72 eV/atom. The magnetic moment is 0.00 Bohr magnetons per cell.

The structure belongs to space group P4/mmm (No. 123); the cell edges are 6.0459, 6.0459 and 5.6592 Å and the angles 90.00°, 90.00° and 90.00°. The asymmetric unit holds Sr at (0.0000, 0.0000, 0.0000), Te at (0.0000, 0.5000, 0.0000), As at (0.0000, 0.0000, 0.5000) and Pd at (0.5000, 0.5000, 0.5000).

---

Entry 3:
## Tm2HfGa (PBE)

Data for a relaxed Tm2HfGa crystal.

For the excess energy over the best structure of this formula in the dataset, the calculation gives 0.27 eV per formula unit. The energy of formation is -0.16 eV per atom. The calculated total energy comes out at -5.65 eV/atom. The magnetic moment is 0.00 Bohr magnetons per cell.

The structure belongs to space group P4/mmm (No. 123); the cell edges are 4.5081, 4.5081 and 4.5291 Å and the angles 90.00°, 90.00° and 90.00°. The asymmetric unit holds Tm at (0.0000, 0.5000, 0.0000), Hf at (0.0000, 0.0000, 0.5000) and Ga at (0.5000, 0.5000, 0.5000).

---

Entry 4:
## CuAsPt2 (PBE)

Data for a relaxed CuAsPt2 crystal.

The energy of formation is 0.01 eV per atom. The calculated total energy comes out at -5.20 eV/atom. The magnetic moment is 0.00 Bohr magnetons per cell.

The structure belongs to space group F-43m (No. 216); the cell edges are 6.2778, 6.2778 and 6.2778 Å and the angles 90.00°, 90.00° and 90.00°. The asymmetric unit holds Cu at (0.0000, 0.0000, 0.0000), As at (0.2500, 0.2500, 0.2500), Pt at (0.0000, 0.0000, 0.5000) and Pt at (0.2500, 0.2500, 0.7500).

---

Entry 5:
## Al2SeCl (PBE)

Data for a relaxed Al2SeCl crystal.

For the excess energy over the best structure of this formula in the dataset, the calculation gives 2.04 eV per formula unit. The value obtained for the raw formation energy is -125 meV per atom. The calculated total energy comes out at -3.33 eV/atom. The magnetic moment is 0.00 Bohr magnetons per cell.

The structure belongs to space group Cmmm (No. 65); the cell edges are 3.6268, 6.2937 and 7.9009 Å and the angles 90.00°, 90.00° and 90.00°. The asymmetric unit holds Al at (0.0000, 0.0000, 0.2333), Se at (0.0000, 0.5000, 0.0000) and Cl at (0.0000, 0.5000, 0.5000).

---

Entry 6:
## Be6Fe (PBE)

Data for a relaxed Be6Fe crystal.

For the excess energy over the best structure of this formula in the dataset, the calculation gives 9.78 eV per formula unit. The energy of formation is 1.32 eV per atom. The calculated total energy comes out at -3.08 eV/atom. The magnetic moment is 5.48 Bohr magnetons per cell.

The structure belongs to space group Im-3m (No. 229); the cell edges are 5.4977, 5.4977 and 5.4977 Å and the angles 90.00°, 90.00° and 90.00°. The asymmetric unit holds Be at (0.0000, 0.2500, 0.5000) and Fe at (0.0000, 0.0000, 0.0000).

---

Entry 7:
## UVFeP2 (PBE)

Data for a relaxed UVFeP2 crystal.

The energy of formation is -0.70 eV per atom. The calculated total energy comes out at -8.64 eV/atom. The magnetic moment is 2.89 Bohr magnetons per cell.

The structure belongs to space group I-4m2 (No. 119); the cell edges are 3.9082, 3.9082 and 9.6007 Å and the angles 90.00°, 90.00° and 90.00°. The asymmetric unit holds U at (0.0000, 0.0000, 0.0000), V at (0.0000, 0.5000, 0.7500), Fe at (0.0000, 0.5000, 0.2500) and P at (0.0000, 0.0000, 0.3763).

---

Entry 8:
## MoRhBr2 (PBE)

Data for a relaxed MoRhBr2 crystal.

For the excess energy over the best structure of this formula in the dataset, the calculation gives 0.47 eV per formula unit. The value obtained for the raw formation energy is 111 meV per atom. The calculated total energy comes out at -5.27 eV/atom. The magnetic moment is 0.00 Bohr magnetons per cell.

The structure belongs to space group P4mm (No. 99); the cell edges are 3.0508, 3.0508 and 8.8618 Å and the angles 90.00°, 90.00° and 90.00°. The asymmetric unit holds Mo at (0.0000, 0.0000, 0.0000), Rh at (0.5000, 0.5000, 0.1805), Br at (0.0000, 0.0000, 0.4033) and Br at (0.5000, 0.5000, 0.8045).

---

Entry 9:
## NdHoZr2 (PBE)

Data for a relaxed NdHoZr2 crystal.

For the excess energy over the best structure of this formula in the dataset, the calculation gives 0.02 eV per formula unit. The energy of formation is 0.16 eV per atom. The calculated total energy comes out at -6.45 eV/atom. The magnetic moment is 0.00 Bohr magnetons per cell.

The structure belongs to space group R-3m (No. 166, hexagonal axes); the cell edges are 3.3674, 3.3674 and 33.1092 Å and the angles 90.00°, 90.00° and 120.00°. The asymmetric unit holds Nd at (0.0000, 0.0000, 0.0000), Ho at (0.0000, 0.0000, 0.5000) and Zr at (0.0000, 0.0000, 0.2488).

---

Entry 10:
## AcPa2InS8 (PBE)

Data for a relaxed AcPa2InS8 crystal.

The value obtained for the raw formation energy is -1383 meV per atom. The calculated total energy comes out at -6.29 eV/atom. The magnetic moment is 0.00 Bohr magnetons per cell.

The structure belongs to space group P2/m (No. 10); the cell edges are 6.2504, 8.3648 and 6.4091 Å and the angles 90.00°, 92.81° and 90.00°. The asymmetric unit holds Ac at (0.0000, 0.0000, 0.0000), Pa at (0.5000, 0.2571, 0.5000), In at (0.0000, 0.5000, 0.0000), S at (0.2400, 0.2773, 0.1686), S at (0.2829, 0.5000, 0.6502) and S at (0.2906, 0.0000, 0.6419).

---

Entry 11:
## PmPaGeRu (PBE)

Data for a relaxed PmPaGeRu crystal.

The energy of formation is -0.22 eV per atom. The calculated total energy comes out at -7.26 eV/atom. The magnetic moment is 0.00 Bohr magnetons per cell.

The structure belongs to space group F-43m (No. 216); the cell edges are 7.0625, 7.0625 and 7.0625 Å and the angles 90.00°, 90.00° and 90.00°. The asymmetric unit holds Pm at (0.0000, 0.0000, 0.0000), Pa at (0.0000, 0.0000, 0.5000), Ge at (0.2500, 0.2500, 0.2500) and Ru at (0.2500, 0.2500, 0.7500).

---

Entry 12:
## RbCdInI2 (PBE)

Data for a relaxed RbCdInI2 crystal.

The value obtained for the raw formation energy is -622 meV per atom. The calculated total energy comes out at -2.17 eV/atom. The magnetic moment is 0.00 Bohr magnetons per cell.

The structure belongs to space group P4/mmm (No. 123); the cell edges are 6.5282, 6.5282 and 5.5357 Å and the angles 90.00°, 90.00° and 90.00°. The asymmetric unit holds Rb at (0.0000, 0.0000, 0.0000), Cd at (0.5000, 0.5000, 0.0000), In at (0.5000, 0.5000, 0.5000) and I at (0.0000, 0.5000, 0.5000).

---

Which formula does entry 6 have?
Be6Fe